1.
First-principles (PBE-GGA) data for PrZnAg after structural relaxation, as listed in OQMD via LeMat-Bulk. Values from VASP.

Computed properties:
symmetry	Ima2, No. 46
crystal system	orthorhombic
calculated formation energy	-0.323	eV/atom

Cell and atoms, written as Quantum ESPRESSO input:
```
&SYSTEM
  ibrav = 0, nat = 12, ntyp = 3
/
ATOMIC_SPECIES
Pr 140.91 Pr.upf
Zn 65.41 Zn.upf
Ag 107.87 Ag.upf
CELL_PARAMETERS angstrom
4.7124 0.0000 0.0000
0.0000 8.1727 0.0000
0.0000 0.0000 7.1638
ATOMIC_POSITIONS crystal
Pr 0.2500 0.2178 0.0000
Pr 0.2500 0.2822 0.5000
Pr 0.7500 0.7178 0.5000
Pr 0.7500 0.7822 0.0000
Zn 0.2500 0.5751 0.2042
Zn 0.2500 0.9249 0.7042
Zn 0.7500 0.0751 0.7042
Zn 0.7500 0.4249 0.2042
Ag 0.2500 0.5953 0.7894
Ag 0.2500 0.9047 0.2894
Ag 0.7500 0.0953 0.2894
Ag 0.7500 0.4047 0.7894
```


2.
First-principles (PBE-GGA) data for HfFeGe after structural relaxation, as listed in OQMD via LeMat-Bulk. Values from VASP.

Computed properties:
calculated total energy	-24.523	eV/f.u.
symmetry	P-62m, No. 189
crystal system	hexagonal

Cell and atoms, written as Quantum ESPRESSO input:
```
&SYSTEM
  ibrav = 0, nat = 9, ntyp = 3
/
ATOMIC_SPECIES
Hf 178.49 Hf.upf
Fe 55.84 Fe.upf
Ge 72.64 Ge.upf
CELL_PARAMETERS angstrom
6.5027 0.0000 0.0000
-3.2514 5.6315 0.0000
0.0000 0.0000 3.7357
ATOMIC_POSITIONS crystal
Hf 0.0000 0.5821 0.0000
Hf 0.4179 0.4179 0.0000
Hf 0.5821 0.0000 0.0000
Fe 0.0000 0.2394 0.5000
Fe 0.2394 0.0000 0.5000
Fe 0.7606 0.7606 0.5000
Ge 0.0000 0.0000 0.0000
Ge 0.3333 0.6667 0.5000
Ge 0.6667 0.3333 0.5000
```


3.
First-principles (PBE-GGA) data for PrNdZn2Au4 after structural relaxation, as listed in OQMD via LeMat-Bulk. Values from VASP.

Computed properties:
symmetry	P4/mmm, No. 123
crystal system	tetragonal
calculated formation energy	-0.573	eV/atom

Cell and atoms, written as Quantum ESPRESSO input:
```
&SYSTEM
  ibrav = 0, nat = 8, ntyp = 4
/
ATOMIC_SPECIES
Pr 140.91 Pr.upf
Nd 144.24 Nd.upf
Zn 65.41 Zn.upf
Au 196.97 Au.upf
CELL_PARAMETERS angstrom
4.9648 0.0000 0.0000
0.0000 4.9648 0.0000
0.0000 0.0000 7.0291
ATOMIC_POSITIONS crystal
Pr 0.0000 0.0000 0.0000
Nd 0.5000 0.5000 0.5000
Zn 0.0000 0.0000 0.5000
Zn 0.5000 0.5000 0.0000
Au 0.0000 0.5000 0.2507
Au 0.0000 0.5000 0.7493
Au 0.5000 0.0000 0.2507
Au 0.5000 0.0000 0.7493
```


4.
First-principles (PBE-GGA) data for AgHgSeO after structural relaxation, as listed in OQMD via LeMat-Bulk. Values from VASP.

Computed properties:
symmetry	P4/nmm, No. 129
crystal system	tetragonal
ΔE to the lowest computed polymorph	0.49	eV/f.u.

Cell and atoms, written as Quantum ESPRESSO input:
```
&SYSTEM
  ibrav = 0, nat = 8, ntyp = 4
/
ATOMIC_SPECIES
Ag 107.87 Ag.upf
Hg 200.59 Hg.upf
Se 78.96 Se.upf
O 16.00 O.upf
CELL_PARAMETERS angstrom
4.1066 0.0000 0.0000
0.0000 4.1066 0.0000
0.0000 0.0000 9.1635
ATOMIC_POSITIONS crystal
Ag 0.2500 0.2500 0.2505
Ag 0.7500 0.7500 0.7495
Hg 0.2500 0.7500 0.0000
Hg 0.7500 0.2500 0.0000
Se 0.2500 0.2500 0.6853
Se 0.7500 0.7500 0.3147
O 0.2500 0.2500 0.5012
O 0.7500 0.7500 0.4988
```